# 1
A plane-wave DFT calculation with PBE was carried out for Y3Mg3AlIr2 after structural relaxation.

It has space group P-62m (No. 189), with a = 7.3455 Å, b = 7.3455 Å, c = 4.1770 Å, α = 90.00°, β = 90.00° and γ = 120.00°. Symmetry generates all atoms from Y at (0.0000, 0.5757, 0.0000), Mg at (0.0000, 0.2526, 0.5000), Al at (0.0000, 0.0000, 0.0000) and Ir at (0.3333, 0.6667, 0.5000).

The crystal system is hexagonal.

# 2
A plane-wave DFT calculation with PBE was carried out for AlMoIr after structural relaxation.

It has space group F-43m (No. 216), with a = 5.938 Å, b = 5.938 Å, c = 5.938 Å, α = 90.00°, β = 90.00° and γ = 90.00°. Symmetry generates all atoms from Al at (0.000, 0.000, 0.000), Mo at (0.000, 0.000, 0.500) and Ir at (0.250, 0.250, 0.250).

The crystal system is cubic.

# 3
A plane-wave DFT calculation with PBE was carried out for Al2MoIr after structural relaxation.

It has space group F-43m (No. 216), with a = 6.219 Å, b = 6.219 Å, c = 6.219 Å, α = 90.00°, β = 90.00° and γ = 90.00°. Symmetry generates all atoms from Al at (0.000, 0.000, 0.000), Al at (0.250, 0.250, 0.250), Mo at (0.000, 0.000, 0.500) and Ir at (0.250, 0.250, 0.750).

The crystal system is cubic.

| no. | uncorrected energy (eV per atom) |
| --- | --- |
| 1 | -5.547 |
| 2 | -8.184 |
| 3 | -6.955 |